1.
Entry from Alexandria via LeMat-Bulk: crystalline TlCl3 at its relaxed geometry (GGA-PBEsol).

Electronic total energy ... -9.24 eV/cell
Formation energy (no corrections) ... -146 meV per atom
N(E_F) ... 6.46 states/eV/f.u.

Cell: 4.9475 4.9475 4.9475 Å, 60.00 60.00 60.00°
Last column: magnetic moment on the atom in μB.
Atoms (fractional coordinates):
Cl1 0.2500 0.2500 0.2500  0.05
Cl2 0.7500 0.7500 0.7500  0.05
Cl3 0.5000 0.5000 0.5000  0.15
Tl1 0.0000 0.0000 0.0000  0.00



2.
Entry from Alexandria via LeMat-Bulk: crystalline NaPmTl2 at its relaxed geometry (GGA-PBEsol).

Formation enthalpy at 0 K ... -29 kJ per mole of atoms
Electronic total energy ... -13.01 eV/cell
N(E_F) ... 1.03 states/eV/f.u.

Cell: 5.2977 5.2977 5.2977 Å, 60.00 60.00 60.00°
Atoms (fractional coordinates):
Na1 0.0000 0.0000 0.0000
Pm1 0.5000 0.5000 0.5000
Tl1 0.7500 0.7500 0.7500
Tl2 0.2500 0.2500 0.2500



3.
Entry from Alexandria via LeMat-Bulk: crystalline ZrBeW at its relaxed geometry (GGA-PBEsol).

Formation enthalpy at 0 K ... 18 kJ per mole of atoms
ΔE to the lowest computed polymorph ... 0 meV per atom
Electronic total energy ... -26.32 eV/cell
N(E_F) ... 1.70 states/eV/f.u.

Cell: 2.7477 2.7477 6.2924 Å, 102.61 102.61 90.00°
Atoms (fractional coordinates):
Zr1 0.3490 0.3490 0.6980
Be1 0.0080 0.0080 0.0159
W1 0.6430 0.6430 0.2860



4.
Entry from Alexandria via LeMat-Bulk: crystalline Ti2CoO5 at its relaxed geometry (GGA-PBEsol).

Electronic total energy ... -140.20 eV/cell
Formation energy (no corrections) ... -2434 meV per atom
N(E_F) ... 1.88 states/eV/f.u.

Cell: 3.7178 5.1794 10.0010 Å, 90.00 90.00 111.03°
Last column: magnetic moment on the atom in μB.
Atoms (fractional coordinates):
O1 0.1864 0.3727 0.0612  0.04
O2 0.4526 0.9053 0.3857  0.05
O3 0.8136 0.6273 0.5612  0.04
O4 0.8136 0.6273 0.9388  0.04
O5 0.5474 0.0947 0.6143  0.05
O6 0.7164 0.4328 0.2500  0.12
O7 0.5474 0.0947 0.8857  0.05
O8 0.1864 0.3727 0.4388  0.04
O9 0.4526 0.9053 0.1143  0.05
O10 0.2836 0.5672 0.7500  0.12
Ti1 0.3652 0.7304 0.5673  0.05
Ti2 0.3652 0.7304 0.9327  0.05
Ti3 0.6348 0.2696 0.0673  0.05
Ti4 0.6348 0.2696 0.4327  0.05
Co1 0.3111 0.6221 0.2500  2.51
Co2 0.6889 0.3779 0.7500  2.51



For each record above, in turn, the calculated size of the total moment values are 0.3; 0.0; 0.0; 3.0 μB per formula unit.